Material: Y3P
Method: DFT, PBE
State: relaxed

Cell: 5.5793 11.4037 3.8150 Å, 90.00 90.00 90.00°
Space group Cmmm (No. 65)
Inequivalent atoms, fractional coordinates:
Y  0.0000  0.0000  0.0000 x2
Y  0.0000  0.3325  0.5000 x4
P  0.0000  0.5000  0.0000 x2

## Properties
DFT formation energy (eV/f.u.): -2.4
Crystal system: orthorhombic
M_tot (μB per atom): 0.000